[1]
This record from Alexandria describes a geometry-optimized Pm3ErTm5 structure. The functional is PBE.

Cell and atoms, written as extended XYZ:
```
18
Lattice="-4.335 4.335 7.622 4.335 -4.335 7.622 4.335 4.335 -7.622" Properties=species:S:1:pos:R:3 pbc="T T T"
Pm 5.342 1.006 0.000
Pm 0.000 0.000 3.811
Pm 1.006 3.329 0.000
Pm 3.329 1.006 7.622
Pm 0.000 0.000 11.434
Pm -1.006 3.329 7.622
Er 4.335 0.000 3.811
Er 0.000 4.335 3.811
Tm 0.000 0.000 0.000
Tm 2.511 1.824 -2.099
Tm 2.511 -1.824 5.524
Tm 2.511 1.824 2.099
Tm 2.511 -1.824 9.721
Tm 0.000 0.000 7.622
Tm 1.824 6.159 -2.099
Tm 1.824 2.511 5.524
Tm 1.824 6.159 2.099
Tm 1.824 2.511 9.721
```

Computed properties:
The energy relative to the elements is 0.270 eV/atom. As for the space-group type: I4/mcm (140).

[2]
This record from Alexandria describes a geometry-optimized Pm2ErTm structure. The functional is PBE.

Cell and atoms, written as extended XYZ:
```
12
Lattice="3.578 0.000 0.000 -1.789 3.099 0.000 0.000 0.000 34.697" Properties=species:S:1:pos:R:3 pbc="T T T"
Pm 0.000 0.000 8.682
Pm 0.000 0.000 26.015
Pm 0.000 2.066 14.450
Pm 0.000 2.066 31.813
Pm 1.789 1.033 2.884
Pm 1.789 1.033 20.248
Er 0.000 0.000 17.349
Er 0.000 2.066 5.783
Er 1.789 1.033 28.914
Tm 0.000 0.000 0.000
Tm 0.000 2.066 23.132
Tm 1.789 1.033 11.566
```

Computed properties:
The energy relative to the elements is 0.016 eV/atom. As for the space-group type: R-3m (166). Its offset from the most stable computed form is 0 meV per atom.

[3]
This record from Alexandria describes a geometry-optimized Pm6ErTm structure. The functional is PBE.

Cell and atoms, written as extended XYZ:
```
8
Lattice="5.106 0.000 0.000 0.000 5.106 0.000 0.000 0.000 10.213" Properties=species:S:1:pos:R:3 pbc="T T T"
Pm 0.000 0.000 0.000
Pm 0.000 0.000 5.106
Pm 0.000 2.553 2.557
Pm 0.000 2.553 7.656
Pm 2.553 0.000 2.557
Pm 2.553 0.000 7.656
Er 2.553 2.553 0.000
Tm 2.553 2.553 5.106
```

Computed properties:
The energy relative to the elements is 0.016 eV/atom. As for the space-group type: P4/mmm (123).

[4]
This record from Alexandria describes a geometry-optimized PmEr7Tm2 structure. The functional is PBE.

Cell and atoms, written as extended XYZ:
```
10
Lattice="4.345 -7.979 0.000 4.345 7.979 0.000 0.000 0.000 5.556" Properties=species:S:1:pos:R:3 pbc="T T T"
Pm 0.000 0.000 0.000
Er 1.536 1.842 2.778
Er 4.345 4.542 0.000
Er 1.536 -1.842 2.778
Er 4.345 0.000 2.778
Er 7.154 1.842 2.778
Er 4.345 -4.542 0.000
Er 7.154 -1.842 2.778
Tm 4.345 3.243 2.778
Tm 4.345 -3.243 2.778
```

Computed properties:
The energy relative to the elements is 0.711 eV/atom. As for the space-group type: Cmmm (65). Its offset from the most stable computed form is 664 meV per atom.

[5]
This record from Alexandria describes a geometry-optimized Pm4ErTm4 structure. The functional is PBE.

Cell and atoms, written as extended XYZ:
```
9
Lattice="-5.350 5.350 2.514 5.350 -5.350 2.514 5.350 5.350 -2.514" Properties=species:S:1:pos:R:3 pbc="T T T"
Pm 3.535 0.000 0.000
Pm 7.165 0.000 0.000
Pm 0.000 3.535 0.000
Pm 0.000 7.165 0.000
Er 0.000 0.000 0.000
Tm 3.577 3.577 0.000
Tm 1.773 -1.773 2.514
Tm -1.773 1.773 2.514
Tm 1.773 1.773 2.514
```

Computed properties:
The energy relative to the elements is 0.024 eV/atom. As for the space-group type: I4/mmm (139). Its offset from the most stable computed form is 0 meV per atom.

[6]
This record from Alexandria describes a geometry-optimized PmEr2Tm structure. The functional is PBE.

Cell and atoms, written as extended XYZ:
```
4
Lattice="3.536 0.000 0.000 0.000 3.536 0.000 0.000 0.000 10.020" Properties=species:S:1:pos:R:3 pbc="T T T"
Pm 0.000 0.000 0.000
Er 1.768 1.768 2.556
Er 1.768 1.768 7.464
Tm 0.000 0.000 5.010
```

Computed properties:
The energy relative to the elements is 0.026 eV/atom. As for the space-group type: P4/mmm (123). Its offset from the most stable computed form is 17 meV per atom.

[7]
This record from Alexandria describes a geometry-optimized Pm3Er4Tm8 structure. The functional is PBE.

Cell and atoms, written as extended XYZ:
```
15
Lattice="6.615 -6.405 0.000 6.615 6.405 0.000 -3.338 0.000 5.762" Properties=species:S:1:pos:R:3 pbc="T T T"
Pm 0.000 0.000 0.000
Pm 3.308 3.202 0.000
Pm 3.308 -3.202 0.000
Er -1.669 0.000 2.881
Er 1.639 3.202 2.881
Er 1.639 -3.202 2.881
Er 6.615 0.000 0.000
Tm 6.615 3.153 0.000
Tm 1.807 0.000 2.941
Tm 3.440 0.000 0.185
Tm 4.946 1.748 2.881
Tm 4.946 -1.748 2.881
Tm 6.452 0.000 5.577
Tm 8.085 0.000 2.821
Tm 6.615 -3.153 0.000
```

Computed properties:
The energy relative to the elements is 0.404 eV/atom. As for the space-group type: C2/m (12).

[8]
This record from Alexandria describes a geometry-optimized Pm12Er2Tm5 structure. The functional is PBE.

Cell and atoms, written as extended XYZ:
```
19
Lattice="8.912 -5.826 0.000 8.912 5.826 0.000 -1.331 0.000 6.038" Properties=species:S:1:pos:R:3 pbc="T T T"
Pm 4.340 3.007 4.841
Pm 0.649 0.000 1.652
Pm 6.551 2.881 2.315
Pm 9.943 2.881 3.724
Pm 5.459 0.000 6.015
Pm 12.153 3.007 1.197
Pm 4.340 -3.007 4.841
Pm 11.034 0.000 0.024
Pm 6.551 -2.881 2.315
Pm 9.943 -2.881 3.724
Pm 15.844 0.000 4.386
Pm 12.153 -3.007 1.197
Er 8.912 2.698 0.000
Er 8.912 -2.698 0.000
Tm 2.032 0.000 5.194
Tm 4.468 0.000 2.684
Tm 8.247 0.000 3.019
Tm 12.025 0.000 3.355
Tm 14.462 0.000 0.844
```

Computed properties:
The energy relative to the elements is 0.104 eV/atom. As for the space-group type: C2/m (12). Its offset from the most stable computed form is 0 meV per atom.